Ho8Te4Au3S after structural relaxation, computed with GGA-PBE.

## Properties
**Electronic total energy**: -81.9 eV per cell
**Space-group type**: R-3m
**M_tot**: 0.000 μB per atom

a b c (Å): 8.6259 8.6259 8.6259
angles (deg): 57.94 57.94 57.94
With the nearest neighbours (Å) after each atom.
Sites, in units of the cell vectors:
Ho 0.2407 0.2407 0.2407  3 Au 2.89, 3 Te 3.13
Ho 0.2445 0.7394 0.7394  1 S 2.87, 2 Au 2.90, 3 Te 3.11-3.14
Ho 0.2606 0.2606 0.7555  1 S 2.87, 2 Au 2.90, 3 Te 3.11-3.14
Ho 0.2606 0.7555 0.2606  1 S 2.87, 2 Au 2.90, 3 Te 3.11-3.14
Ho 0.7394 0.2445 0.7394  1 S 2.87, 2 Au 2.90, 3 Te 3.11-3.14
Ho 0.7394 0.7394 0.2445  1 S 2.87, 2 Au 2.90, 3 Te 3.11-3.14
Ho 0.7555 0.2606 0.2606  1 S 2.87, 2 Au 2.90, 3 Te 3.11-3.14
Ho 0.7593 0.7593 0.7593  3 Au 2.89, 3 Te 3.13
Te 0.0000 0.0000 0.0000  6 Ho 3.14
Te 0.0000 0.5000 0.5000  6 Ho 3.11-3.13
Te 0.5000 0.0000 0.5000  6 Ho 3.11-3.13
Te 0.5000 0.5000 0.0000  6 Ho 3.11-3.13
Au 0.0000 0.0000 0.5000  6 Ho 2.89-2.90
Au 0.0000 0.5000 0.0000  6 Ho 2.89-2.90
Au 0.5000 0.0000 0.0000  6 Ho 2.89-2.90
S 0.5000 0.5000 0.5000  6 Ho 2.87